Here is crystalline ZrFeCoGe at its relaxed geometry from Alexandria. Energies are from PBE.

Cell lengths 6.048, 6.048, 6.048 Å; angles 90.00, 90.00, 90.00 degrees
Space group F-43m (No. 216)
Unique sites:
Zr: 0.000 0.000 0.000 [4 per cell]
Fe: 0.250 0.250 0.250 [4 per cell]
Co: 0.250 0.250 0.750 [4 per cell]
Ge: 0.000 0.000 0.500 [4 per cell]

Results
* magnetic moment: 1.0 μB/f.u.
* density of states at the Fermi level: 8.57 states/eV/cell
* ΔH_f (0 K): -127 kJ/mol of formula units



Here is crystalline TlWBr2 at its relaxed geometry from Alexandria. Energies are from PBE.

Cell lengths 7.489, 7.489, 7.489 Å; angles 90.00, 90.00, 90.00 degrees
Space group F-43m (No. 216)
Unique sites:
Tl: 0.000 0.000 0.000 [4 per cell]
W: 0.250 0.250 0.250 [4 per cell]
Br: 0.000 0.000 0.500 [4 per cell]
Br: 0.250 0.250 0.750 [4 per cell]

Results
* excess energy over the best structure of this formula in the dataset: 0.855 eV/atom
* magnetic moment: 5.0 μB/f.u.
* density of states at the Fermi level: 4.77 states/eV/cell
* formation energy from raw total energies: 1.11 eV/atom



Here is crystalline Rb2PuTcO6 at its relaxed geometry from Alexandria. Energies are from PBE.

Cell lengths 8.344, 8.344, 8.344 Å; angles 90.00, 90.00, 90.00 degrees
Space group Fm-3m (No. 225)
Unique sites:
Rb: 0.250 0.250 0.250 [8 per cell]
Pu: 0.000 0.000 0.000 [4 per cell]
Tc: 0.000 0.000 0.500 [4 per cell]
O: 0.000 0.000 0.263 [24 per cell]

Results
* magnetic moment: 5.0 μB/f.u.
* density of states at the Fermi level: 24.65 states/eV/cell
* formation energy from raw total energies: -1.99 eV/atom



Here is crystalline KErTeO4 at its relaxed geometry from Alexandria. Energies are from PBE.

Cell lengths 5.867, 6.008, 7.834 Å; angles 90.00, 108.09, 90.00 degrees
Space group P2_1/m (No. 11)
Unique sites:
K: 0.077 0.250 0.150 [2 per cell]
Er: 0.163 0.750 0.460 [2 per cell]
Te: 0.420 0.250 0.744 [2 per cell]
O: 0.168 0.011 0.666 [4 per cell]
O: 0.212 0.750 0.192 [2 per cell]
O: 0.435 0.250 0.501 [2 per cell]

Results
* magnetic moment: 0.0 μB/f.u.
* density of states at the Fermi level: 0.00 states/eV/cell
* formation energy from raw total energies: -2.08 eV/atom



Here is crystalline KIF at its relaxed geometry from Alexandria. Energies are from PBE.

Cell lengths 5.066, 5.066, 8.737 Å; angles 90.00, 90.00, 90.00 degrees
Space group I4mm (No. 107)
Unique sites:
K: 0.000 0.000 0.000 [2 per cell]
I: 0.000 0.000 0.446 [2 per cell]
F: 0.000 0.000 0.716 [2 per cell]

Results
* magnetic moment: 1.0 μB/f.u.
* formation energy from raw total energies: -1.34 eV/atom



Here is crystalline HoTm2Sc7 at its relaxed geometry from Alexandria. Energies are from PBE.

Cell lengths 7.442, 17.102, 4.969 Å; angles 90.00, 90.00, 90.00 degrees
Space group Cmmm (No. 65)
Unique sites:
Ho: 0.000 0.000 0.000 [2 per cell]
Tm: 0.000 0.264 0.500 [4 per cell]
Sc: 0.000 0.408 0.000 [4 per cell]
Sc: 0.000 0.500 0.500 [2 per cell]
Sc: 0.196 0.097 0.500 [8 per cell]

Results
* magnetic moment: 0.0 μB/f.u.
* density of states at the Fermi level: 26.30 states/eV/cell
* ΔH_f (0 K): 596 kJ/mol of formula units



Here is crystalline ErGeAu at its relaxed geometry from Alexandria. Energies are from PBE.

Cell lengths 4.9549, 4.9549, 5.9862 Å; angles 90.00, 90.00, 120.00 degrees
Space group P6_3mc (No. 186)
Unique sites:
Er: 0.3333 0.6667 0.0000 [2 per cell]
Ge: 0.3333 0.6667 0.4846 [2 per cell]
Au: 0.0000 0.0000 0.3525 [2 per cell]

Results
* magnetic moment: 0.0 μB/f.u.
* density of states at the Fermi level: 0.65 states/eV/cell
* ΔH_f (0 K): -167 kJ/mol of formula units



Here is crystalline TbY2Zn2In2 at its relaxed geometry from Alexandria. Energies are from PBE.

Cell lengths 4.7002, 4.7002, 27.4370 Å; angles 90.00, 90.00, 120.00 degrees
Space group R-3m (No. 166, hexagonal axes)
Unique sites:
Tb: 0.0000 0.0000 0.0000 [3 per cell]
Y: 0.0000 0.0000 0.1272 [6 per cell]
Zn: 0.0000 0.0000 0.3948 [6 per cell]
In: 0.0000 0.0000 0.2629 [6 per cell]

Results
* magnetic moment: 0.0 μB/f.u.
* density of states at the Fermi level: 9.50 states/eV/cell
* ΔH_f (0 K): -200 kJ/mol of formula units



Here is crystalline NdMgAu2 at its relaxed geometry from Alexandria. Energies are from PBE.

Cell lengths 4.972, 4.972, 3.656 Å; angles 90.00, 90.00, 90.00 degrees
Space group P4/mmm (No. 123)
Unique sites:
Nd: 0.000 0.000 0.000 [1 per cell]
Mg: 0.500 0.500 0.000 [1 per cell]
Au: 0.000 0.500 0.500 [2 per cell]

Results
* magnetic moment: 0.0 μB/f.u.
* density of states at the Fermi level: 3.22 states/eV/cell
* ΔH_f (0 K): -232 kJ/mol of formula units



Here is crystalline FeW2Br at its relaxed geometry from Alexandria. Energies are from PBE.

Cell lengths 5.448, 5.448, 11.313 Å; angles 90.00, 90.00, 90.00 degrees
Space group I-42d (No. 122)
Unique sites:
Fe: 0.000 0.000 0.000 [4 per cell]
W: 0.201 0.250 0.125 [8 per cell]
Br: 0.000 0.000 0.500 [4 per cell]

Results
* excess energy over the best structure of this formula in the dataset: 0.934 eV/atom
* magnetic moment: 0.0 μB/f.u.
* density of states at the Fermi level: 8.72 states/eV/cell
* formation energy from raw total energies: 1.50 eV/atom



Here is crystalline Tl2In9Hg6 at its relaxed geometry from Alexandria. Energies are from PBE.

Cell lengths 6.081, 6.260, 12.560 Å; angles 89.40, 80.75, 84.90 degrees
Space group P-1 (No. 2)
Unique sites:
Tl: 0.130 0.028 0.249 [2 per cell]
In: 0.000 0.000 0.000 [1 per cell]
In: 0.173 0.518 0.344 [2 per cell]
In: 0.321 0.698 0.562 [2 per cell]
In: 0.377 0.237 0.735 [2 per cell]
In: 0.500 0.000 0.000 [1 per cell]
In: 0.500 0.500 0.000 [1 per cell]
Hg: 0.026 0.538 0.118 [2 per cell]
Hg: 0.194 0.164 0.516 [2 per cell]
Hg: 0.378 0.750 0.797 [2 per cell]

Results
* magnetic moment: 0.0 μB/f.u.
* density of states at the Fermi level: 7.11 states/eV/cell
* ΔH_f (0 K): 39 kJ/mol of formula units



Here is crystalline Cs2Tl5Sb4 at its relaxed geometry from Alexandria. Energies are from PBE.

Cell lengths 15.130, 7.395, 10.814 Å; angles 90.00, 130.25, 90.00 degrees
Space group C2/m (No. 12)
Unique sites:
Cs: 0.240 0.000 0.292 [4 per cell]
Tl: 0.000 0.500 0.000 [2 per cell]
Tl: 0.036 0.268 0.776 [8 per cell]
Sb: 0.110 0.000 0.541 [4 per cell]
Sb: 0.232 0.000 0.886 [4 per cell]

Results
* magnetic moment: 0.0 μB/f.u.
* density of states at the Fermi level: 11.25 states/eV/cell
* formation energy from raw total energies: -0.08 eV/atom



no.,mass density (Mg/m³)
1,8.4
2,8.7
3,7.0
4,5.0
5,2.7
6,4.3
7,11.4
8,6.6
9,10.3
10,10.0
11,9.3
12,6.4